[1]
First-principles (PBE) data for a geometry-optimized TbScO3 structure, as listed in the Open Quantum Materials Database. Values from VASP.

Total energy, eV per formula unit: -43.51

Structure (Quantum ESPRESSO input):
```
&SYSTEM
  ibrav = 0, nat = 20, ntyp = 3
/
ATOMIC_SPECIES
Tb 158.93 Tb.upf
Sc 44.96 Sc.upf
O 16.00 O.upf
CELL_PARAMETERS angstrom
5.7279 0.0000 0.0000
0.0000 7.8960 0.0000
0.0000 0.0000 5.4393
ATOMIC_POSITIONS angstrom
Tb 0.3582 1.9740 0.1002
Tb 2.5057 5.9220 2.8198
Tb 3.2222 1.9740 2.6195
Tb 5.3697 5.9220 5.3391
Sc 0.0000 0.0000 2.7197
Sc 0.0000 3.9480 2.7197
Sc 2.8639 0.0000 0.0000
Sc 2.8639 3.9480 0.0000
O 0.3150 5.9220 2.0247
O 1.1075 4.4714 4.4016
O 1.1075 7.3726 4.4016
O 1.7564 0.5234 1.6820
O 1.7564 3.4246 1.6820
O 2.5489 1.9740 4.7444
O 3.1790 5.9220 0.6949
O 3.9715 4.4714 3.7573
O 3.9715 7.3726 3.7573
O 4.6203 0.5234 1.0377
O 4.6203 3.4246 1.0377
O 5.4129 1.9740 3.4146
```


[2]
First-principles (PBE) data for a geometry-optimized NaNiTeAu structure, as listed in the Open Quantum Materials Database. Values from VASP.

Energy relative to the lowest polymorph listed for this composition, kcal/mol of atoms: 1.61

Structure (Quantum ESPRESSO input):
```
&SYSTEM
  ibrav = 0, nat = 4, ntyp = 4
/
ATOMIC_SPECIES
Na 22.99 Na.upf
Ni 58.69 Ni.upf
Te 127.60 Te.upf
Au 196.97 Au.upf
CELL_PARAMETERS angstrom
0.0000 3.3600 3.3600
3.3600 0.0000 3.3600
3.3600 3.3600 0.0000
ATOMIC_POSITIONS angstrom
Na 0.0000 0.0000 0.0000
Ni 1.6800 1.6800 1.6800
Te 3.3600 3.3600 3.3600
Au 5.0401 5.0401 5.0401
```


[3]
First-principles (PBE) data for a geometry-optimized CsGaMo structure, as listed in the Open Quantum Materials Database. Values from VASP.

Energy relative to the lowest polymorph listed for this composition, kcal/mol of atoms: 0.00

Structure (Quantum ESPRESSO input):
```
&SYSTEM
  ibrav = 0, nat = 3, ntyp = 3
/
ATOMIC_SPECIES
Cs 132.91 Cs.upf
Ga 69.72 Ga.upf
Mo 95.94 Mo.upf
CELL_PARAMETERS angstrom
0.0000 3.4843 3.4843
3.4843 0.0000 3.4843
3.4843 3.4843 0.0000
ATOMIC_POSITIONS angstrom
Cs 0.0000 0.0000 0.0000
Ga 3.4843 3.4843 3.4843
Mo 1.7422 1.7422 1.7422
```


[4]
First-principles (PBE) data for a geometry-optimized HoZr3 structure, as listed in the Open Quantum Materials Database. Values from VASP.

Formation energy from the elements, meV/atom: 36.3

Structure (Quantum ESPRESSO input):
```
&SYSTEM
  ibrav = 0, nat = 8, ntyp = 2
/
ATOMIC_SPECIES
Ho 164.93 Ho.upf
Zr 91.22 Zr.upf
CELL_PARAMETERS angstrom
6.6180 0.0000 0.0000
-3.3090 5.7313 0.0000
0.0000 0.0000 5.2263
ATOMIC_POSITIONS angstrom
Ho 0.0000 3.8209 1.3066
Ho 3.3090 1.9104 3.9197
Zr 0.0000 1.8521 3.9197
Zr -1.7050 4.8053 3.9197
Zr 1.6040 0.9261 1.3066
Zr 1.7050 4.8053 3.9197
Zr 5.0140 0.9261 1.3066
Zr 3.3090 3.8792 1.3066
```


[5]
First-principles (PBE) data for a geometry-optimized DyTlSb structure, as listed in the Open Quantum Materials Database. Values from VASP.

Energy relative to the lowest polymorph listed for this composition, kcal/mol of atoms: 0.00

Structure (Quantum ESPRESSO input):
```
&SYSTEM
  ibrav = 0, nat = 3, ntyp = 3
/
ATOMIC_SPECIES
Dy 162.50 Dy.upf
Tl 204.38 Tl.upf
Sb 121.76 Sb.upf
CELL_PARAMETERS angstrom
0.0000 3.6327 3.6327
3.6327 0.0000 3.6327
3.6327 3.6327 0.0000
ATOMIC_POSITIONS angstrom
Dy 0.0000 0.0000 0.0000
Tl 1.8164 1.8164 1.8164
Sb 5.4491 5.4491 5.4491
```


[6]
First-principles (PBE) data for a geometry-optimized NaGdZnTe3 structure, as listed in the Open Quantum Materials Database. Values from VASP.

Energy relative to the lowest polymorph listed for this composition, kcal/mol of atoms: 0.02

Structure (Quantum ESPRESSO input):
```
&SYSTEM
  ibrav = 0, nat = 24, ntyp = 4
/
ATOMIC_SPECIES
Na 22.99 Na.upf
Gd 157.25 Gd.upf
Zn 65.41 Zn.upf
Te 127.60 Te.upf
CELL_PARAMETERS angstrom
11.6896 0.0000 0.0000
0.0000 4.3253 0.0000
0.0000 0.0000 14.6707
ATOMIC_POSITIONS angstrom
Na 2.7818 1.0813 0.2172
Na 3.0630 3.2440 7.5525
Na 8.6266 1.0813 7.1182
Na 8.9078 3.2440 14.4535
Gd 0.0884 3.2440 10.9655
Gd 5.7564 1.0813 3.6302
Gd 5.9332 3.2440 11.0405
Gd 11.6012 1.0813 3.7052
Zn 2.8503 3.2440 3.2211
Zn 2.9945 1.0813 10.5565
Zn 8.6951 3.2440 4.1142
Zn 8.8393 1.0813 11.4495
Te 0.7119 3.2440 1.6346
Te 0.9006 1.0813 8.9099
Te 2.8490 1.0813 4.9057
Te 2.9958 3.2440 12.2410
Te 4.9441 3.2440 1.5746
Te 5.1329 1.0813 8.9699
Te 6.5567 3.2440 5.7008
Te 6.7454 1.0813 13.0961
Te 8.6938 1.0813 2.4297
Te 8.8405 3.2440 9.7650
Te 10.7889 3.2440 5.7608
Te 10.9777 1.0813 13.0361
```


[7]
First-principles (PBE) data for a geometry-optimized HgW structure, as listed in the Open Quantum Materials Database. Values from VASP.

Energy relative to the lowest polymorph listed for this composition, kcal/mol of atoms: 24.43
Formation energy from the elements, meV/atom: 1915.3

Structure (Quantum ESPRESSO input):
```
&SYSTEM
  ibrav = 0, nat = 4, ntyp = 2
/
ATOMIC_SPECIES
Hg 200.59 Hg.upf
W 183.84 W.upf
CELL_PARAMETERS angstrom
4.0886 0.0000 0.0000
-2.0443 3.5408 0.0000
0.0000 0.0000 5.7894
ATOMIC_POSITIONS angstrom
Hg 0.0000 0.0000 0.0000
Hg 0.0000 0.0000 2.8947
W 0.0000 2.3606 1.4474
W 2.0443 1.1803 4.3421
```


[8]
First-principles (PBE) data for a geometry-optimized BeZnAg structure, as listed in the Open Quantum Materials Database. Values from VASP.

Energy relative to the lowest polymorph listed for this composition, kcal/mol of atoms: 4.01

Structure (Quantum ESPRESSO input):
```
&SYSTEM
  ibrav = 0, nat = 3, ntyp = 3
/
ATOMIC_SPECIES
Be 9.01 Be.upf
Zn 65.41 Zn.upf
Ag 107.87 Ag.upf
CELL_PARAMETERS angstrom
0.0000 2.9204 2.9204
2.9204 0.0000 2.9204
2.9204 2.9204 0.0000
ATOMIC_POSITIONS angstrom
Be 0.0000 0.0000 0.0000
Zn 2.9204 2.9204 2.9204
Ag 4.3805 4.3805 4.3805
```